CeCrH5: relaxed, PBE-GGA.

Structure (CIF):
```
data_CeCrH5
_chemical_formula_sum 'Ce2 Cr2 H10'
_cell_length_a 5.643
_cell_length_b 5.643
_cell_length_c 6.356
_cell_angle_alpha 55.71
_cell_angle_beta 55.71
_cell_angle_gamma 69.06
_space_group_name_H-M_alt 'P 1'
_space_group_IT_number 1
_space_group_name_Hall 'P 1'
loop_
_atom_site_label
_atom_site_type_symbol
_atom_site_fract_x
_atom_site_fract_y
_atom_site_fract_z
_atom_site_occupancy
Ce1 Ce 0.213 0.287 0.250 1
Ce2 Ce 0.787 0.713 0.750 1
Cr1 Cr 0.000 0.000 0.000 1
Cr2 Cr 0.500 0.500 0.500 1
H1 H 0.000 0.000 0.267 1
H2 H 0.269 0.800 0.466 1
H3 H 0.500 0.500 0.767 1
H4 H 0.835 0.665 0.250 1
H5 H 0.700 0.231 0.034 1
H6 H 0.300 0.769 0.966 1
H7 H 0.165 0.335 0.750 1
H8 H 0.500 0.500 0.233 1
H9 H 0.731 0.200 0.534 1
H10 H 0.000 0.000 0.733 1
```

Output
V: 137.9 Å³ per cell
Space-group type: Imma, No. 74
Raw total energy: -66.57 eV for the cell shown